(1)
VASP calculation (GGA-PBE) on crystalline BeNi2W2 at its relaxed geometry.

Cell: 7.3429 7.3429 2.6400 Å, 90.00 90.00 90.00°
Positions (direct):
Be 0.0000 0.0000 0.0000
Be 0.5000 0.5000 0.0000
Ni 0.1685 0.3315 0.5000
Ni 0.3315 0.8315 0.5000
Ni 0.6685 0.1685 0.5000
Ni 0.8315 0.6685 0.5000
W 0.1270 0.6270 0.0000
W 0.3730 0.1270 0.0000
W 0.6270 0.8730 0.0000
W 0.8730 0.3730 0.0000

Results
E_form   0.5644 eV/atom
DOS at the Fermi energy   6.7 states/eV/cell

***

(2)
VASP calculation (GGA-PBE) on crystalline NaTmHgTe3 at its relaxed geometry.

Cell: 8.7945 4.4235 10.6948 Å, 90.00 105.51 90.00°
Positions (direct):
Na 0.2056 0.2500 0.2161
Na 0.7944 0.7500 0.7839
Tm 0.3255 0.7500 0.8528
Tm 0.6745 0.2500 0.1472
Hg 0.0887 0.2500 0.6049
Hg 0.9113 0.7500 0.3951
Te 0.0817 0.2500 0.8665
Te 0.2654 0.7500 0.5438
Te 0.4369 0.7500 0.1491
Te 0.5631 0.2500 0.8509
Te 0.7346 0.2500 0.4562
Te 0.9183 0.7500 0.1335

Results
Uncorrected formation energy   -839 meV per atom

***

(3)
VASP calculation (GGA-PBE) on crystalline Hf3CdRe at its relaxed geometry.

Cell: 5.0168 5.0168 5.0168 Å, 90.00 90.00 90.00°
Positions (direct):
Hf 0.0000 0.0000 0.5000
Hf 0.0000 0.5000 0.0000
Hf 0.5000 0.0000 0.0000
Cd 0.0000 0.0000 0.0000
Re 0.5000 0.5000 0.5000

Results
E_form   1.8777 eV/atom
DOS at the Fermi energy   7.6 states/eV/cell

***

(4)
VASP calculation (GGA-PBE) on crystalline PmIn4Pd4 at its relaxed geometry.

Cell: 8.8363 8.8363 5.4257 Å, 90.00 90.00 90.00°
Positions (direct):
Pm 0.2500 0.2500 0.2500
Pm 0.7500 0.7500 0.7500
In 0.0880 0.6408 0.1567
In 0.1408 0.9120 0.6567
In 0.3592 0.5880 0.6567
In 0.4120 0.8592 0.1567
In 0.5880 0.1408 0.8433
In 0.6408 0.4120 0.3433
In 0.8592 0.0880 0.3433
In 0.9120 0.3592 0.8433
Pd 0.0481 0.6128 0.6593
Pd 0.1128 0.9519 0.1593
Pd 0.3872 0.5481 0.1593
Pd 0.4519 0.8872 0.6593
Pd 0.5481 0.1128 0.3407
Pd 0.6128 0.4519 0.8407
Pd 0.8872 0.0481 0.8407
Pd 0.9519 0.3872 0.3407

Results
E_form   -0.3896 eV/atom
DOS at the Fermi energy   10.8 states/eV/cell

***

(5)
VASP calculation (GGA-PBE) on crystalline Pm2Al4Cu5 at its relaxed geometry.

Cell: 8.8156 7.9198 5.5043 Å, 79.89 62.18 37.93°
Positions (direct):
Pm 0.1395 0.1395 0.8605
Pm 0.8605 0.8605 0.1395
Al 0.2143 0.5284 0.4716
Al 0.4716 0.7857 0.2143
Al 0.5284 0.2143 0.7857
Al 0.7857 0.4716 0.5284
Cu 0.0000 0.0000 0.5000
Cu 0.2500 0.2500 0.2500
Cu 0.5000 0.5000 0.0000
Cu 0.5000 0.5000 0.5000
Cu 0.7500 0.7500 0.7500

Results
E_form   -0.2957 eV/atom
DOS at the Fermi energy   6.2 states/eV/cell

***

(6)
VASP calculation (GGA-PBE) on crystalline CrCoCu2Te at its relaxed geometry.

Cell: 4.6212 4.6212 4.2406 Å, 90.00 90.00 90.00°
Positions (direct):
Cr 0.0000 0.0000 0.0000
Co 0.0000 0.0000 0.5000
Cu 0.0000 0.5000 0.0000
Cu 0.5000 0.0000 0.0000
Te 0.5000 0.5000 0.5000

Results
DOS at the Fermi energy   4.5 states/eV/cell
Uncorrected formation energy   1100 meV per atom

***

(7)
VASP calculation (GGA-PBE) on crystalline K2Ce2CuO6 at its relaxed geometry.

Cell: 6.2363 6.2363 6.4347 Å, 95.81 95.81 124.65°
Positions (direct):
K 0.1487 0.8513 0.0000
K 0.8513 0.1487 0.0000
Ce 0.3369 0.6631 0.5000
Ce 0.6631 0.3369 0.5000
Cu 0.0000 0.0000 0.5000
O 0.0423 0.4323 0.6929
O 0.2499 0.2499 0.3553
O 0.4323 0.0423 0.6929
O 0.5677 0.9577 0.3071
O 0.7501 0.7501 0.6447
O 0.9577 0.5677 0.3071

Results
Uncorrected formation energy   -2283 meV per atom

***

(8)
VASP calculation (GGA-PBE) on crystalline SrLa2Cd at its relaxed geometry.

Cell: 6.9623 6.9623 6.9623 Å, 145.52 130.44 61.78°
Positions (direct):
Sr 0.0000 0.0000 0.0000
La 0.4423 0.4423 0.0000
La 0.7175 0.2175 0.5000
Cd 0.2239 0.7239 0.5000

Results
E_form   -0.0433 eV/atom
DOS at the Fermi energy   5.3 states/eV/cell

***

(9)
VASP calculation (GGA-PBE) on crystalline SrHoZnAg at its relaxed geometry.

Cell: 5.2785 5.2785 5.2785 Å, 60.00 60.00 60.00°
Positions (direct):
Sr 0.0000 0.0000 0.0000
Ho 0.5000 0.5000 0.5000
Zn 0.2500 0.2500 0.2500
Ag 0.7500 0.7500 0.7500

Results
E_form   -0.1904 eV/atom
DOS at the Fermi energy   2.6 states/eV/cell

***

(10)
VASP calculation (GGA-PBE) on crystalline Tl3SeS at its relaxed geometry.

Cell: 5.7896 5.7896 5.7896 Å, 90.00 90.00 90.00°
Positions (direct):
Tl 0.0000 0.0000 0.5000
Tl 0.0000 0.5000 0.0000
Tl 0.5000 0.0000 0.0000
Se 0.0000 0.0000 0.0000
S 0.5000 0.5000 0.5000

Results
DOS at the Fermi energy   3.3 states/eV/cell
Uncorrected formation energy   211 meV per atom

***

(11)
VASP calculation (GGA-PBE) on crystalline HoTmTh2Bi4 at its relaxed geometry.

Cell: 7.7998 4.5351 7.8483 Å, 90.00 109.68 90.00°
Positions (direct):
Ho 0.0000 0.0000 0.0000
Tm 0.0000 0.5000 0.5000
Th 0.5000 0.0000 0.5000
Th 0.5000 0.5000 0.0000
Bi 0.2373 0.0000 0.7447
Bi 0.2382 0.5000 0.2470
Bi 0.7618 0.5000 0.7530
Bi 0.7627 0.0000 0.2553

Results
E_form   -0.6812 eV/atom
DOS at the Fermi energy   4.5 states/eV/cell

***

(12)
VASP calculation (GGA-PBE) on crystalline MoPbSe2 at its relaxed geometry.

Cell: 7.2298 7.2298 7.2298 Å, 126.14 126.14 79.66°
Positions (direct):
Mo 0.0000 0.0000 0.0000
Mo 0.7500 0.2500 0.5000
Pb 0.2500 0.7500 0.5000
Pb 0.5000 0.5000 0.0000
Se 0.0495 0.6250 0.9245
Se 0.3750 0.2995 0.4245
Se 0.7005 0.1250 0.0755
Se 0.8750 0.9505 0.5755

Results
DOS at the Fermi energy   3.5 states/eV/cell
Uncorrected formation energy   86 meV per atom